# 1
Density functional theory data (PBE) for a relaxed structure of Na4Bi2O5.

* total magnetization: 0.00 μB/atom
* formation energy without anion corrections: -1.330 eV/atom
* excess energy over the best structure of this formula in the dataset: 61 meV per atom

a = 15.336 Å, b = 5.035 Å, c = 10.292 Å
α = 90.00°, β = 90.00°, γ = 90.00°
Space group Pnna (No. 52)
One atom of each set of equivalent atoms:
Na: 0.014 0.020 0.146 (multiplicity 8)
Na: 0.166 0.750 0.250 (multiplicity 4)
Na: 0.250 0.000 0.999 (multiplicity 4)
Bi: 0.115 0.025 0.536 (multiplicity 8)
O: 0.042 0.528 0.135 (multiplicity 8)
O: 0.111 0.056 0.972 (multiplicity 8)
O: 0.250 0.000 0.423 (multiplicity 4)


# 2
Density functional theory data (PBE) for a relaxed structure of CaLaSc.

* total magnetization: 0.00 μB/atom
* energy of formation: 0.354 eV per formula unit
* excess energy over the best structure of this formula in the dataset: 6 meV per atom

a = 3.6025 Å, b = 3.6025 Å, c = 8.9208 Å
α = 90.00°, β = 90.00°, γ = 120.00°
Space group P3m1 (No. 156)
One atom of each set of equivalent atoms:
Ca: 0.0000 0.0000 0.0000 (multiplicity 1)
La: 0.3333 0.6667 0.3727 (multiplicity 1)
Sc: 0.6667 0.3333 0.6716 (multiplicity 1)


# 3
Density functional theory data (PBE) for a relaxed structure of NaMnTcAs2.

* total magnetization: 0.61 μB/atom
* energy of formation: -1.387 eV per formula unit

a = 3.962 Å, b = 3.962 Å, c = 12.245 Å
α = 90.00°, β = 90.00°, γ = 90.00°
Space group I-4m2 (No. 119)
One atom of each set of equivalent atoms:
Na: 0.000 0.000 0.000 (multiplicity 2)
Mn: 0.000 0.500 0.250 (multiplicity 2)
Tc: 0.000 0.500 0.750 (multiplicity 2)
As: 0.000 0.000 0.370 (multiplicity 4)


# 4
Density functional theory data (PBE) for a relaxed structure of Mg2HgHF.

* total DFT energy (no corrections): -2.0557 eV/atom
* total magnetization: 0.00 μB/atom

a = 4.574 Å, b = 4.574 Å, c = 4.013 Å
α = 90.00°, β = 90.00°, γ = 90.00°
Space group P4/mmm (No. 123)
One atom of each set of equivalent atoms:
Mg: 0.000 0.500 0.000 (multiplicity 2)
Hg: 0.000 0.000 0.500 (multiplicity 1)
H: 0.000 0.000 0.000 (multiplicity 1)
F: 0.500 0.500 0.500 (multiplicity 1)


# 5
Density functional theory data (PBE) for a relaxed structure of Tb2HoPd2.

* total magnetization: 0.00 μB/atom
* energy of formation: -3.645 eV per formula unit

a = 7.808 Å, b = 7.808 Å, c = 3.959 Å
α = 90.00°, β = 90.00°, γ = 90.00°
Space group P4/mbm (No. 127)
One atom of each set of equivalent atoms:
Tb: 0.166 0.334 0.000 (multiplicity 4)
Ho: 0.000 0.000 0.500 (multiplicity 2)
Pd: 0.132 0.632 0.500 (multiplicity 4)


# 6
Density functional theory data (PBE) for a relaxed structure of SrLa2F.

* total magnetization: 0.00 μB/atom
* formation energy without anion corrections: -1.094 eV/atom
* excess energy over the best structure of this formula in the dataset: 0 meV per atom

a = 7.943 Å, b = 7.943 Å, c = 9.327 Å
α = 90.00°, β = 90.00°, γ = 90.00°
Space group I-42d (No. 122)
One atom of each set of equivalent atoms:
Sr: 0.000 0.000 0.000 (multiplicity 4)
La: 0.104 0.750 0.625 (multiplicity 8)
F: 0.000 0.000 0.500 (multiplicity 4)


# 7
Density functional theory data (PBE) for a relaxed structure of LaNdDy2Tl2.

* total magnetization: 0.00 μB/atom
* energy of formation: -1.633 eV per formula unit

a = 5.181 Å, b = 10.305 Å, c = 6.875 Å
α = 90.00°, β = 90.00°, γ = 90.00°
Space group Pmc2_1 (No. 26)
One atom of each set of equivalent atoms:
La: 0.000 0.045 0.000 (multiplicity 2)
Nd: 0.500 0.192 0.741 (multiplicity 2)
Dy: 0.000 0.317 0.386 (multiplicity 2)
Dy: 0.500 0.458 0.107 (multiplicity 2)
Tl: 0.000 0.377 0.851 (multiplicity 2)
Tl: 0.500 0.146 0.269 (multiplicity 2)


# 8
Density functional theory data (PBE) for a relaxed structure of CaZnIn2Cl6.

* total magnetization: 0.00 μB/atom
* formation energy without anion corrections: -1.338 eV/atom

a = 7.190 Å, b = 7.203 Å, c = 7.209 Å
α = 61.64°, β = 61.76°, γ = 61.58°
Space group P1 (No. 1)
One atom of each set of equivalent atoms:
Ca: 0.000 0.000 0.000 (multiplicity 1)
Zn: 0.500 0.500 0.500 (multiplicity 1)
In: 0.266 0.266 0.270 (multiplicity 1)
In: 0.732 0.732 0.730 (multiplicity 1)
Cl: 0.200 0.323 0.724 (multiplicity 1)
Cl: 0.268 0.799 0.677 (multiplicity 1)
Cl: 0.326 0.728 0.199 (multiplicity 1)
Cl: 0.674 0.272 0.801 (multiplicity 1)
Cl: 0.732 0.200 0.323 (multiplicity 1)
Cl: 0.799 0.677 0.276 (multiplicity 1)


# 9
Density functional theory data (PBE) for a relaxed structure of Li2InAgAu5.

* total magnetization: 0.00 μB/atom
* energy of formation: -1.371 eV per formula unit

a = 6.204 Å, b = 6.204 Å, c = 16.301 Å
α = 90.00°, β = 90.00°, γ = 90.00°
Space group I4/mcm (No. 140)
One atom of each set of equivalent atoms:
Li: 0.119 0.381 0.000 (multiplicity 8)
In: 0.000 0.000 0.250 (multiplicity 4)
Ag: 0.000 0.500 0.250 (multiplicity 4)
Au: 0.000 0.000 0.000 (multiplicity 4)
Au: 0.213 0.287 0.377 (multiplicity 16)


# 10
Density functional theory data (PBE) for a relaxed structure of CsTl2AuBr5.

* total magnetization: 0.00 μB/atom
* formation energy without anion corrections: -0.773 eV/atom

a = 8.956 Å, b = 8.956 Å, c = 16.040 Å
α = 90.00°, β = 90.00°, γ = 90.00°
Space group I4/mcm (No. 140)
One atom of each set of equivalent atoms:
Cs: 0.000 0.000 0.250 (multiplicity 4)
Tl: 0.172 0.328 0.000 (multiplicity 8)
Au: 0.000 0.500 0.250 (multiplicity 4)
Br: 0.000 0.000 0.000 (multiplicity 4)
Br: 0.148 0.352 0.364 (multiplicity 16)


# 11
Density functional theory data (PBE) for a relaxed structure of CePr2Ru2.

* total magnetization: 0.00 μB/atom
* energy of formation: -1.233 eV per formula unit
* excess energy over the best structure of this formula in the dataset: 48 meV per atom

a = 13.175 Å, b = 3.934 Å, c = 11.701 Å
α = 90.00°, β = 123.22°, γ = 90.00°
Space group C2/m (No. 12)
One atom of each set of equivalent atoms:
Ce: 0.135 0.000 0.349 (multiplicity 4)
Pr: 0.095 0.500 0.929 (multiplicity 4)
Pr: 0.153 0.000 0.683 (multiplicity 4)
Ru: 0.072 0.500 0.441 (multiplicity 4)
Ru: 0.119 0.000 0.137 (multiplicity 4)


# 12
Density functional theory data (PBE) for a relaxed structure of HoTm2Tc9.

* total magnetization: 0.00 μB/atom
* energy of formation: -1.069 eV per formula unit

a = 5.3265 Å, b = 5.3265 Å, c = 26.1246 Å
α = 90.00°, β = 90.00°, γ = 120.00°
Space group R-3m (No. 166, hexagonal axes)
One atom of each set of equivalent atoms:
Ho: 0.0000 0.0000 0.0000 (multiplicity 3)
Tm: 0.0000 0.0000 0.1436 (multiplicity 6)
Tc: 0.0000 0.0000 0.3378 (multiplicity 6)
Tc: 0.0000 0.0000 0.5000 (multiplicity 3)
Tc: 0.0104 0.5052 0.9161 (multiplicity 18)


Look up the total magnetization of the twelfth one.
0.00 μB/atom